Here is a relaxed structure of Na3MnTl3Br8 from Alexandria. Energies are from PBE.

a = 8.6793 Å, b = 8.6842 Å, c = 9.2111 Å
α = 118.15°, β = 90.00°, γ = 119.98°
With the nearest neighbours (Å) after each atom.
Fractional coordinates of all 15 atoms:
Na 0.5000 0.0000 0.5000  6 Br 3.01-3.05
Na 0.5000 0.5000 0.5000  6 Br 3.00-3.05
Na 0.0000 0.5000 0.5000  6 Br 3.00-3.05
Mn 0.0000 0.0000 0.5000  6 Br 2.74
Tl 0.0000 0.0000 0.0000  6 Br 3.34
Tl 0.0000 0.5000 0.0000  6 Br 3.34
Tl 0.5000 0.5000 0.0000  6 Br 3.34
Br 0.2616 0.5233 0.2856  3 Na 3.00-3.01, 3 Tl 3.34
Br 0.7384 0.4767 0.7144  3 Na 3.00-3.01, 3 Tl 3.34
Br 0.7830 0.5659 0.3013  1 Mn 2.74, 2 Na 3.05
Br 0.2170 0.4341 0.6987  1 Mn 2.74, 2 Na 3.05
Br 0.7828 0.0182 0.3013  1 Mn 2.74, 2 Na 3.05
Br 0.2172 0.9818 0.6987  1 Mn 2.74, 2 Na 3.05
Br 0.2354 0.0182 0.3013  1 Mn 2.74, 2 Na 3.05
Br 0.7646 0.9818 0.6987  1 Mn 2.74, 2 Na 3.05

calculated total energy	-50.35	eV/cell
E_form (uncorrected)	-1116.3	meV/atom
DOS at the Fermi energy	0.0000	states/eV per atom